Computed, not measured: crystalline Cs3H2Br3 at its relaxed geometry at the PBE level of DFT.

Structure (POSCAR):
```
Cs3H2Br3
1.0
4.747 0.000 0.000
-1.652 6.488 0.000
-1.471 -3.231 9.612
Cs H Br
3 2 3
Direct
0.000 0.000 0.000
0.073 0.682 0.313
0.927 0.318 0.687
0.499 0.551 0.527
0.501 0.449 0.473
0.298 0.885 0.692
0.500 0.500 0.000
0.702 0.115 0.308
```

Results
DFT total energy: -3.083 eV per atom
Spin magnetization: 0.00 μB/atom
ρ: 3.59 g/cm3


Computed, not measured: crystalline Cs2H2Br at its relaxed geometry at the PBE level of DFT.

Structure (POSCAR):
```
Cs2H2Br
1.0
8.756 0.000 0.000
0.000 8.756 0.000
0.000 0.000 4.371
Cs H Br
4 4 2
Direct
0.190 0.310 0.000
0.310 0.810 0.000
0.690 0.190 0.000
0.810 0.690 0.000
0.033 0.533 0.500
0.467 0.033 0.500
0.533 0.967 0.500
0.967 0.467 0.500
0.000 0.000 0.500
0.500 0.500 0.500
```

Results
DFT total energy: -2.604 eV per atom
Energy above the most stable polymorph in this dataset: 0.062 eV/atom
Spin magnetization: 0.18 μB/atom
ρ: 3.45 g/cm3


Computed, not measured: crystalline Cs2HBr at its relaxed geometry at the PBE level of DFT.

Structure (POSCAR):
```
Cs2HBr
1.0
2.439 1.408 8.072
-2.439 1.408 8.072
0.000 -2.817 8.072
Cs H Br
2 1 1
Direct
0.240 0.240 0.240
0.760 0.760 0.760
0.500 0.500 0.500
0.000 0.000 0.000
```

Results
DFT total energy: -2.644 eV per atom
Energy above the most stable polymorph in this dataset: 0.000 eV/atom
Spin magnetization: 0.01 μB/atom
ρ: 3.46 g/cm3


Computed, not measured: crystalline CsHgHBr2 at its relaxed geometry at the PBE level of DFT.

Structure (POSCAR):
```
CsHgHBr2
1.0
6.084 0.000 0.000
0.000 6.084 0.000
0.000 0.000 3.897
Cs Hg H Br
1 1 1 2
Direct
0.000 0.000 0.000
0.500 0.500 0.500
0.500 0.500 0.000
0.000 0.500 0.500
0.500 0.000 0.500
```

Results
DFT total energy: -2.262 eV per atom
Spin magnetization: 0.00 μB/atom
ρ: 5.69 g/cm3


Computed, not measured: crystalline Cs2HgHBr at its relaxed geometry at the PBE level of DFT.

Structure (POSCAR):
```
Cs2HgHBr
1.0
5.945 0.000 0.000
0.000 5.945 0.000
0.000 0.000 5.280
Cs Hg H Br
2 1 1 1
Direct
0.000 0.500 0.000
0.500 0.000 0.000
0.000 0.000 0.500
0.000 0.000 0.000
0.500 0.500 0.500
```

Results
DFT total energy: -2.088 eV per atom
Spin magnetization: 0.00 μB/atom
ρ: 4.87 g/cm3


Computed, not measured: crystalline Cs2Hg2H2I4Br2O at its relaxed geometry at the PBE level of DFT.

Structure (POSCAR):
```
Cs2Hg2H2I4Br2O
1.0
7.733 0.000 0.000
0.000 14.229 0.000
-0.829 0.000 9.049
Cs Hg H I Br O
4 4 4 8 4 2
Direct
0.000 0.177 0.000
0.000 0.823 0.500
0.557 0.298 0.374
0.557 0.702 0.874
0.110 0.144 0.512
0.110 0.856 0.012
0.116 0.430 0.657
0.116 0.570 0.157
0.518 0.209 0.953
0.518 0.791 0.453
0.547 0.120 0.048
0.547 0.880 0.548
0.328 0.036 0.353
0.328 0.964 0.853
0.346 0.462 0.028
0.346 0.538 0.528
0.810 0.400 0.766
0.810 0.600 0.266
0.811 0.073 0.618
0.811 0.927 0.118
0.033 0.305 0.348
0.033 0.695 0.848
0.313 0.251 0.725
0.313 0.749 0.225
0.582 0.186 0.044
0.582 0.814 0.544
```

Results
DFT total energy: -2.730 eV per atom
Spin magnetization: 0.00 μB/atom
ρ: 4.51 g/cm3


Computed, not measured: crystalline Cs8HI4Br3 at its relaxed geometry at the PBE level of DFT.

Structure (POSCAR):
```
Cs8HI4Br3
1.0
5.316 3.069 8.751
-5.316 3.069 8.751
0.000 -6.139 8.751
Cs H I Br
8 1 4 3
Direct
0.244 0.244 0.244
0.252 0.737 0.737
0.263 0.263 0.748
0.263 0.748 0.263
0.737 0.252 0.737
0.737 0.737 0.252
0.748 0.263 0.263
0.756 0.756 0.756
0.500 0.500 0.500
0.000 0.000 0.000
0.000 0.500 0.500
0.500 0.000 0.500
0.500 0.500 0.000
0.000 0.000 0.500
0.000 0.500 0.000
0.500 0.000 0.000
```

Results
DFT total energy: -2.788 eV per atom
Spin magnetization: 0.00 μB/atom
ρ: 3.51 g/cm3


Computed, not measured: crystalline Cs6H3IBr2 at its relaxed geometry at the PBE level of DFT.

Structure (POSCAR):
```
Cs6H3IBr2
1.0
10.863 -2.464 0.000
10.863 2.464 0.000
-2.467 0.000 9.690
Cs H I Br
6 3 1 2
Direct
0.008 0.008 0.219
0.322 0.322 0.429
0.339 0.339 0.902
0.661 0.661 0.098
0.678 0.678 0.571
0.992 0.992 0.781
0.168 0.168 0.329
0.500 0.500 0.000
0.832 0.832 0.671
0.500 0.500 0.500
0.166 0.166 0.834
0.834 0.834 0.166
```

Results
DFT total energy: -2.585 eV per atom
Spin magnetization: 0.01 μB/atom
ρ: 3.48 g/cm3


Computed, not measured: crystalline Cs8H3I4Br at its relaxed geometry at the PBE level of DFT.

Structure (POSCAR):
```
Cs8H3I4Br
1.0
8.923 -5.145 0.000
8.923 5.145 0.000
-5.943 0.000 8.561
Cs H I Br
8 3 4 1
Direct
0.226 0.745 0.716
0.238 0.238 0.713
0.255 0.255 0.285
0.255 0.774 0.284
0.745 0.226 0.716
0.745 0.745 0.715
0.762 0.762 0.287
0.774 0.255 0.284
0.000 0.000 0.500
0.000 0.500 0.500
0.500 0.000 0.500
0.000 0.000 0.000
0.000 0.500 0.000
0.500 0.000 0.000
0.500 0.500 0.000
0.500 0.500 0.500
```

Results
DFT total energy: -2.575 eV per atom
Spin magnetization: 0.01 μB/atom
ρ: 3.49 g/cm3


Computed, not measured: crystalline Cs2HI6Br at its relaxed geometry at the PBE level of DFT.

Structure (POSCAR):
```
Cs2HI6Br
1.0
-4.434 4.434 5.753
4.434 -4.434 5.753
4.434 4.434 -5.753
Cs H I Br
2 1 6 1
Direct
0.250 0.750 0.500
0.750 0.250 0.500
0.000 0.000 0.000
0.167 0.167 0.000
0.273 0.273 0.547
0.273 0.727 0.000
0.727 0.273 0.000
0.727 0.727 0.453
0.833 0.833 0.000
0.500 0.500 0.000
```

Results
DFT total energy: -2.144 eV per atom
Spin magnetization: 0.00 μB/atom
ρ: 4.07 g/cm3


Computed, not measured: crystalline Cs8HI3Br3 at its relaxed geometry at the PBE level of DFT.

Structure (POSCAR):
```
Cs8HI3Br3
1.0
5.315 3.069 8.794
-5.315 3.069 8.794
0.000 -6.138 8.794
Cs H I Br
8 1 3 3
Direct
0.244 0.244 0.244
0.254 0.735 0.735
0.265 0.265 0.746
0.265 0.746 0.265
0.735 0.254 0.735
0.735 0.735 0.254
0.746 0.265 0.265
0.756 0.756 0.756
0.500 0.500 0.500
0.000 0.500 0.500
0.500 0.000 0.500
0.500 0.500 0.000
0.000 0.000 0.500
0.000 0.500 0.000
0.500 0.000 0.000
```

Results
DFT total energy: -2.645 eV per atom
Spin magnetization: 0.06 μB/atom
ρ: 3.25 g/cm3


Computed, not measured: crystalline Cs8HI3Br4 at its relaxed geometry at the PBE level of DFT.

Structure (POSCAR):
```
Cs8HI3Br4
1.0
9.195 -5.309 0.000
9.195 5.309 0.000
-6.120 0.000 8.668
Cs H I Br
8 1 3 4
Direct
0.232 0.757 0.747
0.243 0.768 0.253
0.244 0.244 0.733
0.246 0.246 0.256
0.754 0.754 0.744
0.756 0.756 0.267
0.757 0.232 0.747
0.768 0.243 0.253
0.000 0.000 0.000
0.000 0.500 0.000
0.500 0.000 0.000
0.500 0.500 0.000
0.000 0.000 0.500
0.000 0.500 0.500
0.500 0.000 0.500
0.500 0.500 0.500
```

Results
DFT total energy: -2.820 eV per atom
Spin magnetization: 0.00 μB/atom
ρ: 3.46 g/cm3


Computed, not measured: crystalline Cs4HI2Br at its relaxed geometry at the PBE level of DFT.

Structure (POSCAR):
```
Cs4HI2Br
1.0
9.071 0.000 0.000
0.000 5.248 0.000
-3.001 0.000 8.661
Cs H I Br
4 1 2 1
Direct
0.231 0.000 0.221
0.245 0.500 0.777
0.755 0.500 0.223
0.769 0.000 0.779
0.000 0.500 0.000
0.000 0.000 0.500
0.500 0.500 0.500
0.500 0.000 0.000
```

Results
DFT total energy: -2.680 eV per atom
Spin magnetization: 0.01 μB/atom
ρ: 3.49 g/cm3


Computed, not measured: crystalline CsH2IBr8 at its relaxed geometry at the PBE level of DFT.

Structure (POSCAR):
```
CsH2IBr8
1.0
7.309 0.000 0.000
2.596 7.559 0.000
1.971 2.219 9.612
Cs H I Br
1 2 1 8
Direct
0.000 0.000 0.000
0.457 0.694 0.242
0.543 0.306 0.758
0.000 0.000 0.500
0.140 0.184 0.255
0.189 0.131 0.633
0.367 0.636 0.492
0.481 0.292 0.906
0.519 0.708 0.094
0.633 0.364 0.508
0.811 0.869 0.367
0.860 0.816 0.745
```

Results
DFT total energy: -2.252 eV per atom
Spin magnetization: 0.00 μB/atom
ρ: 2.82 g/cm3


Computed, not measured: crystalline Cs4HIBr2 at its relaxed geometry at the PBE level of DFT.

Structure (POSCAR):
```
Cs4HIBr2
1.0
8.993 0.000 0.000
0.000 5.210 0.000
-2.996 0.000 8.540
Cs H I Br
4 1 1 2
Direct
0.244 0.000 0.234
0.250 0.500 0.772
0.750 0.500 0.228
0.756 0.000 0.766
0.000 0.500 0.000
0.000 0.000 0.500
0.500 0.000 0.000
0.500 0.500 0.500
```

Results
DFT total energy: -2.748 eV per atom
Spin magnetization: 0.01 μB/atom
ρ: 3.40 g/cm3


Computed, not measured: crystalline Cs6H2I3Br at its relaxed geometry at the PBE level of DFT.

Structure (POSCAR):
```
Cs6H2I3Br
1.0
4.476 -7.741 0.000
4.476 7.741 0.000
-3.000 0.000 8.578
Cs H I Br
6 2 3 1
Direct
0.077 0.428 0.782
0.221 0.221 0.213
0.428 0.077 0.782
0.572 0.923 0.218
0.779 0.779 0.787
0.923 0.572 0.218
0.168 0.832 0.000
0.832 0.168 0.000
0.000 0.000 0.500
0.340 0.660 0.500
0.660 0.340 0.500
0.500 0.500 0.000
```

Results
DFT total energy: -2.612 eV per atom
Spin magnetization: 0.01 μB/atom
ρ: 3.52 g/cm3


Computed, not measured: crystalline Cs3HIBr at its relaxed geometry at the PBE level of DFT.

Structure (POSCAR):
```
Cs3HIBr
1.0
8.844 0.000 0.000
0.000 5.182 0.000
-2.638 0.000 12.548
Cs H I Br
6 2 2 2
Direct
0.040 0.250 0.173
0.208 0.250 0.527
0.437 0.750 0.822
0.563 0.250 0.178
0.792 0.750 0.473
0.960 0.750 0.827
0.126 0.750 0.639
0.874 0.250 0.361
0.345 0.750 0.321
0.655 0.250 0.679
0.238 0.250 0.944
0.762 0.750 0.056
```

Results
DFT total energy: -2.677 eV per atom
Spin magnetization: 0.01 μB/atom
ρ: 3.50 g/cm3


Computed, not measured: crystalline CsHIBr at its relaxed geometry at the PBE level of DFT.

Structure (POSCAR):
```
CsHIBr
1.0
5.958 0.000 0.000
0.000 5.071 0.000
-1.288 0.000 5.927
Cs H I Br
1 1 1 1
Direct
0.000 0.000 0.000
0.314 0.500 0.757
0.027 0.500 0.502
0.509 0.500 0.988
```

Results
DFT total energy: -2.769 eV per atom
Spin magnetization: 0.00 μB/atom
ρ: 3.16 g/cm3


Computed, not measured: crystalline CsInHBr2 at its relaxed geometry at the PBE level of DFT.

Structure (POSCAR):
```
CsInHBr2
1.0
6.103 0.000 0.000
0.000 6.103 0.000
0.000 0.000 4.112
Cs In H Br
1 1 1 2
Direct
0.000 0.000 0.000
0.500 0.500 0.500
0.500 0.500 0.000
0.000 0.500 0.500
0.500 0.000 0.500
```

Results
DFT total energy: -2.919 eV per atom
Spin magnetization: 0.00 μB/atom
ρ: 4.43 g/cm3


Computed, not measured: crystalline Cs2HIrBr6 at its relaxed geometry at the PBE level of DFT.

Structure (POSCAR):
```
Cs2HIrBr6
1.0
-3.869 3.869 5.502
3.869 -3.869 5.502
3.869 3.869 -5.502
Cs H Ir Br
2 1 1 6
Direct
0.250 0.750 0.500
0.750 0.250 0.500
0.000 0.000 0.000
0.500 0.500 0.000
0.271 0.271 0.541
0.271 0.729 0.000
0.272 0.272 0.000
0.728 0.728 0.000
0.729 0.271 0.000
0.729 0.729 0.459
```

Results
DFT total energy: -3.053 eV per atom
Spin magnetization: 0.20 μB/atom
ρ: 4.73 g/cm3